{"formula": "Ni2Ag2Te", "functional": "SCAN", "state": "PBEsol geometry", "cell": [[3.687, 0.000, 0.000], [0.000, 3.687, 0.000], [0.000, 0.000, 12.116]], "species": ["Ni", "Ni", "Ni", "Ni", "Ag", "Ag", "Ag", "Ag", "Te", "Te"], "frac_coords": [[0.000, 0.000, 0.096], [0.000, 0.000, 0.904], [0.500, 0.500, 0.404], [0.500, 0.500, 0.596], [0.000, 0.500, 0.250], [0.000, 0.500, 0.750], [0.500, 0.000, 0.250], [0.500, 0.000, 0.750], [0.000, 0.000, 0.500], [0.500, 0.500, 0.000]], "formation_energy_uncorrected_ev_per_fu": 2.02, "e_tot_ry_per_atom": -1.91555, "vol_a3_per_cell": 164.69, "spacegroup": "I4/mmm (139)"}